No. 1
# PBE-GGA Mn2CdGa, optimized geometry
# - magnetization (μB per formula unit) = 5.82
# - energy of formation (eV per atom) = 0.10
data_Mn2CdGa
_cell_length_a 2.8122
_cell_length_b 2.8122
_cell_length_c 7.6643
_cell_angle_alpha 90.00
_cell_angle_beta 90.00
_cell_angle_gamma 90.00
_symmetry_space_group_name_H-M 'P 4/m m m'
_symmetry_Int_Tables_number 123
_symmetry_space_group_name_Hall '-P 4 2'
loop_
_atom_site_label
_atom_site_type_symbol
_atom_site_fract_x
_atom_site_fract_y
_atom_site_fract_z
_atom_site_occupancy
Mn1 Mn 0.0000 0.0000 0.2238 1
Cd1 Cd 0.5000 0.5000 0.5000 1
Ga1 Ga 0.5000 0.5000 0.0000 1

---

No. 2
# PBE-GGA MnCdGa3, optimized geometry
# - magnetization (μB per formula unit) = 1.73
# - energy of formation (eV per atom) = 0.19
data_MnCdGa3
_cell_length_a 4.7743
_cell_length_b 4.7743
_cell_length_c 4.7743
_cell_angle_alpha 90.00
_cell_angle_beta 90.00
_cell_angle_gamma 90.00
_symmetry_space_group_name_H-M 'P m -3 m'
_symmetry_Int_Tables_number 221
_symmetry_space_group_name_Hall '-P 4 2 3'
loop_
_atom_site_label
_atom_site_type_symbol
_atom_site_fract_x
_atom_site_fract_y
_atom_site_fract_z
_atom_site_occupancy
Mn1 Mn 0.0000 0.0000 0.0000 1
Cd1 Cd 0.5000 0.5000 0.5000 1
Ga1 Ga 0.0000 0.0000 0.5000 1

---

No. 3
# PBE-GGA MnCd2Ga, optimized geometry
# - magnetization (μB per formula unit) = 3.83
# - energy of formation (eV per atom) = 0.36
data_MnCd2Ga
_cell_length_a 7.7675
_cell_length_b 7.7675
_cell_length_c 5.5831
_cell_angle_alpha 90.00
_cell_angle_beta 90.00
_cell_angle_gamma 90.00
_symmetry_space_group_name_H-M 'I -4 2 d'
_symmetry_Int_Tables_number 122
_symmetry_space_group_name_Hall 'I -4 2bw'
loop_
_atom_site_label
_atom_site_type_symbol
_atom_site_fract_x
_atom_site_fract_y
_atom_site_fract_z
_atom_site_occupancy
Mn1 Mn 0.0000 0.0000 0.0000 1
Cd1 Cd 0.2449 0.2500 0.6250 1
Ga1 Ga 0.0000 0.0000 0.5000 1

---

No. 4
# PBE-GGA MnCdGa2, optimized geometry
# - magnetization (μB per formula unit) = 3.16
# - energy of formation (eV per atom) = 0.05
data_MnCdGa2
_cell_length_a 2.9094
_cell_length_b 2.9094
_cell_length_c 8.1781
_cell_angle_alpha 90.00
_cell_angle_beta 90.00
_cell_angle_gamma 90.00
_symmetry_space_group_name_H-M 'P 4/m m m'
_symmetry_Int_Tables_number 123
_symmetry_space_group_name_Hall '-P 4 2'
loop_
_atom_site_label
_atom_site_type_symbol
_atom_site_fract_x
_atom_site_fract_y
_atom_site_fract_z
_atom_site_occupancy
Mn1 Mn 0.0000 0.0000 0.0000 1
Cd1 Cd 0.0000 0.0000 0.5000 1
Ga1 Ga 0.5000 0.5000 0.2056 1

---

No. 5
# PBE-GGA MnCd2Ga, optimized geometry
# - magnetization (μB per formula unit) = 4.10
# - energy of formation (eV per atom) = 0.37
data_MnCd2Ga
_cell_length_a 2.9688
_cell_length_b 2.9688
_cell_length_c 32.2019
_cell_angle_alpha 90.00
_cell_angle_beta 90.00
_cell_angle_gamma 120.00
_symmetry_space_group_name_H-M 'R -3 m'
_symmetry_Int_Tables_number 166
_symmetry_space_group_name_Hall '-R 3 2"'
loop_
_atom_site_label
_atom_site_type_symbol
_atom_site_fract_x
_atom_site_fract_y
_atom_site_fract_z
_atom_site_occupancy
Mn1 Mn 0.0000 0.0000 0.0000 1
Cd1 Cd 0.0000 0.0000 0.0872 1
Ga1 Ga 0.0000 0.0000 0.5000 1

---

No. 6
# PBE-GGA MnCdGa2, optimized geometry
# - magnetization (μB per formula unit) = 3.67
# - energy of formation (eV per atom) = 0.32
data_MnCdGa2
_cell_length_a 2.9541
_cell_length_b 2.9541
_cell_length_c 30.7099
_cell_angle_alpha 90.00
_cell_angle_beta 90.00
_cell_angle_gamma 120.00
_symmetry_space_group_name_H-M 'R -3 m'
_symmetry_Int_Tables_number 166
_symmetry_space_group_name_Hall '-R 3 2"'
loop_
_atom_site_label
_atom_site_type_symbol
_atom_site_fract_x
_atom_site_fract_y
_atom_site_fract_z
_atom_site_occupancy
Mn1 Mn 0.0000 0.0000 0.0000 1
Cd1 Cd 0.0000 0.0000 0.5000 1
Ga1 Ga 0.0000 0.0000 0.0826 1